Below is TbPa2Ni9 after structural relaxation, with properties calculated at the GGA-PBE level.

Output
The calculated formation energy comes out at -0.41 eV per atom. As for the theoretical density: 11.1 Mg/m³. The calculation puts the uncorrected energy at -6.72 eV per atom. The crystal system is trigonal.

Structure (CIF):
```
data_TbPa2Ni9
_cell_length_a 4.9166
_cell_length_b 4.9166
_cell_length_c 24.6201
_cell_angle_alpha 90.00
_cell_angle_beta 90.00
_cell_angle_gamma 120.00
_symmetry_space_group_name_H-M 'R -3 m'
_symmetry_Int_Tables_number 166
_symmetry_space_group_name_Hall '-R 3 2"'
loop_
_atom_site_label
_atom_site_fract_x
_atom_site_fract_y
_atom_site_fract_z
Tb1 0.0000 0.0000 0.0000
Pa1 0.0000 0.0000 0.1392
Ni1 0.0000 0.0000 0.3330
Ni2 0.0000 0.0000 0.5000
Ni3 0.0010 0.5005 0.9169
```